Entry from the Alexandria database: a geometry-optimized Ag4TeCl2 structure (PBE).

a = 8.258 Å, b = 8.257 Å, c = 8.200 Å
α = 125.16°, β = 125.17°, γ = 81.29°
Positions (direct):
1 Te 0.742 0.328 0.612
2 Te 0.078 0.992 0.112
3 Ag 0.953 0.243 0.961
4 Ag 0.740 0.921 0.397
5 Ag 0.671 0.990 0.897
6 Ag 0.168 0.951 0.811
7 Ag 0.127 0.577 0.015
8 Ag 0.993 0.203 0.460
9 Ag 0.327 0.377 0.515
10 Ag 0.701 0.418 0.312
11 Cl 0.373 0.171 0.820
12 Cl 0.921 0.623 0.320
13 Cl 0.494 0.713 0.384
14 Cl 0.463 0.744 0.884

## Properties
formation energy without anion corrections	-0.286	eV per atom
total energy	-2.8917	eV/atom